Entry 1:
A relaxed structure of Tb2PaAu. Source: Alexandria, functional PBE.

Summary:
Energy of formation in eV per atom: -0.285
SG: P4/mmm (123)
Crystal system: tetragonal
E_tot in eV per atom: -5.7936
Relative energy among the computed polymorphs in meV/atom: 0

abc: 3.534 3.534 8.221
angles: 90.00 90.00 90.00
Sites, in units of the cell vectors:
Tb 0.000 0.000 0.777
Tb 0.000 0.000 0.223
Pa 0.500 0.500 0.500
Au 0.500 0.500 0.000

=====

Entry 2:
A relaxed structure of Ag2HgSbSe4. Source: Alexandria, functional PBE.

Summary:
SG: I-4 (82)
Crystal system: tetragonal
E_tot in eV per atom: -3.1276

abc: 6.231 6.232 7.559
angles: 114.35 114.34 89.99
Sites, in units of the cell vectors:
Ag 0.486 0.986 0.972
Ag 0.236 0.236 0.472
Hg 0.986 0.486 0.972
Sb 0.736 0.736 0.472
Se 0.605 0.612 0.720
Se 0.859 0.357 0.223
Se 0.364 0.867 0.223
Se 0.115 0.108 0.720

=====

Entry 3:
A relaxed structure of CaTiP3. Source: Alexandria, functional PBE.

Summary:
Energy of formation in eV per atom: 1.183
SG: Pm-3m (221)
Crystal system: cubic
E_tot in eV per atom: -4.0422
Relative energy among the computed polymorphs in meV/atom: 1622

abc: 4.969 4.969 4.969
angles: 90.00 90.00 90.00
Sites, in units of the cell vectors:
P 0.000 0.500 0.000
P 0.000 0.000 0.500
P 0.500 0.000 0.000
Ca 0.000 0.000 0.000
Ti 0.500 0.500 0.500

=====

Entry 4:
A relaxed structure of RbC3F12. Source: Alexandria, functional PBE.

Summary:
SG: P6_3/m (176)
Crystal system: hexagonal
E_tot in eV per atom: -4.8750

abc: 6.905 10.551 10.551
angles: 120.00 90.00 90.00
Sites, in units of the cell vectors:
Rb 0.750 0.667 0.333
Rb 0.250 0.333 0.667
C 0.250 0.878 0.675
C 0.250 0.797 0.122
C 0.250 0.325 0.203
C 0.750 0.675 0.797
C 0.750 0.203 0.878
C 0.750 0.122 0.325
F 0.250 0.972 0.820
F 0.750 0.046 0.397
F 0.410 0.793 0.638
F 0.090 0.793 0.638
F 0.750 0.603 0.649
F 0.090 0.845 0.207
F 0.410 0.845 0.207
F 0.250 0.849 0.028
F 0.410 0.362 0.155
F 0.090 0.362 0.155
F 0.750 0.820 0.849
F 0.250 0.649 0.046
F 0.750 0.351 0.954
F 0.250 0.180 0.151
F 0.910 0.638 0.845
F 0.590 0.638 0.845
F 0.750 0.151 0.972
F 0.590 0.155 0.793
F 0.910 0.155 0.793
F 0.250 0.397 0.351
F 0.590 0.207 0.362
F 0.910 0.207 0.362
F 0.250 0.954 0.603
F 0.750 0.028 0.180

=====

Entry 5:
A relaxed structure of SrCrIr. Source: Alexandria, functional PBE.

Summary:
Energy of formation in eV per atom: 0.159
SG: P-6m2 (187)
Crystal system: hexagonal
E_tot in eV per atom: -6.5633
Relative energy among the computed polymorphs in meV/atom: 0

abc: 4.067 4.067 5.023
angles: 90.00 90.00 120.00
Site moments in Bohr magnetons follow the coordinates.
Sites, in units of the cell vectors:
Cr 0.000 0.000 0.167  1.61
Ir 0.667 0.333 0.167  -0.17
Sr 0.333 0.667 0.667  -0.01

=====

Entry 6:
A relaxed structure of KZnGa. Source: Alexandria, functional PBE.

Summary:
Energy of formation in eV per atom: 0.040
SG: P-6m2 (187)
Crystal system: hexagonal
E_tot in eV per atom: -1.7596
Relative energy among the computed polymorphs in meV/atom: 55

abc: 5.415 4.375 4.375
angles: 120.00 90.00 90.00
Sites, in units of the cell vectors:
Zn 0.167 0.667 0.333
K 0.666 0.333 0.667
Ga 0.167 0.000 0.000

=====

Entry 7:
A relaxed structure of La2HgAs3Pd4. Source: Alexandria, functional PBE.

Summary:
Energy of formation in eV per atom: -0.824
SG: P-4m2 (115)
Crystal system: tetragonal
E_tot in eV per atom: -5.3114

abc: 4.333 4.333 10.984
angles: 90.00 90.00 90.00
Sites, in units of the cell vectors:
La 0.500 0.000 0.234
La 0.000 0.500 0.766
Hg 0.500 0.500 0.500
As 0.000 0.000 0.500
As 0.500 0.000 0.872
As 0.000 0.500 0.128
Pd 0.500 0.500 0.000
Pd 0.000 0.000 0.000
Pd 0.500 0.000 0.650
Pd 0.000 0.500 0.350

=====

Entry 8:
A relaxed structure of Tm3PuPb2. Source: Alexandria, functional PBE.

Summary:
Energy of formation in eV per atom: -0.249
SG: Cmmm (65)
Crystal system: orthorhombic
E_tot in eV per atom: -6.1092

abc: 4.876 8.515 9.375
angles: 117.01 105.07 90.00
Site moments in Bohr magnetons follow the coordinates.
Sites, in units of the cell vectors:
Tm 0.500 0.250 0.000  0.38
Tm 0.500 0.750 0.000  0.38
Tm 0.828 0.078 0.656  0.13
Tm 0.172 0.422 0.344  0.13
Tm 0.172 0.922 0.344  0.13
Tm 0.828 0.578 0.656  0.13
Pu 0.000 0.500 0.000  5.51
Pu 0.000 0.000 0.000  5.51
Pb 0.347 0.347 0.695  -0.04
Pb 0.653 0.153 0.305  -0.04
Pb 0.347 0.847 0.695  -0.04
Pb 0.653 0.653 0.305  -0.04

=====

Entry 9:
A relaxed structure of Mo2OsI. Source: Alexandria, functional PBE.

Summary:
SG: I-42d (122)
Crystal system: tetragonal
E_tot in eV per atom: -7.3510
Relative energy among the computed polymorphs in meV/atom: 310

abc: 5.873 5.873 7.194
angles: 65.91 65.91 90.00
Sites, in units of the cell vectors:
I 0.500 0.500 0.000
I 0.250 0.750 0.500
Mo 0.664 0.125 0.250
Mo 0.086 0.625 0.250
Mo 0.375 0.336 0.750
Mo 0.875 0.914 0.750
Os 0.000 0.000 0.000
Os 0.750 0.250 0.500

=====

Entry 10:
A relaxed structure of Np2CuGe4Pt3. Source: Alexandria, functional PBE.

Summary:
Energy of formation in eV per atom: -0.456
SG: P-4m2 (115)
Crystal system: tetragonal
E_tot in eV per atom: -7.1128

abc: 4.279 4.279 10.212
angles: 90.00 90.00 90.00
Site moments in Bohr magnetons follow the coordinates.
Sites, in units of the cell vectors:
Np 0.500 0.000 0.256  3.81
Np 0.000 0.500 0.744  3.81
Cu 0.500 0.500 0.500  0.00
Ge 0.500 0.500 0.000  -0.02
Ge 0.000 0.000 0.000  -0.02
Ge 0.500 0.000 0.631  -0.03
Ge 0.000 0.500 0.369  -0.03
Pt 0.000 0.000 0.500  -0.03
Pt 0.500 0.000 0.871  -0.04
Pt 0.000 0.500 0.129  -0.04

=====

Entry 11:
A relaxed structure of Sc2CdFe2. Source: Alexandria, functional PBE.

Summary:
Energy of formation in eV per atom: 0.040
SG: I4/mmm (139)
Crystal system: tetragonal
E_tot in eV per atom: -6.0603

abc: 3.346 3.346 8.764
angles: 79.00 79.00 90.00
Site moments in Bohr magnetons follow the coordinates.
Sites, in units of the cell vectors:
Sc 0.377 0.377 0.246  -0.14
Sc 0.623 0.623 0.754  -0.14
Fe 0.750 0.250 0.500  2.02
Fe 0.250 0.750 0.500  2.02
Cd 0.000 0.000 0.000  0.02

=====

Entry 12:
A relaxed structure of K4Pu3InS8. Source: Alexandria, functional PBE.

Summary:
SG: R-3m (166)
Crystal system: trigonal
E_tot in eV per atom: -6.5882

abc: 8.198 8.701 8.198
angles: 118.10 120.00 90.00
Site moments in Bohr magnetons follow the coordinates.
Sites, in units of the cell vectors:
K 0.500 0.000 0.000  0.00
K 0.500 0.000 0.500  0.00
K 0.000 0.000 0.000  0.00
K 0.000 0.000 0.500  0.00
Pu 0.500 0.500 0.000  5.02
Pu 0.500 0.500 0.500  5.02
Pu 0.000 0.500 0.500  5.02
In 0.000 0.500 0.000  0.09
S 0.231 0.699 0.968  -0.07
S 0.231 0.699 0.463  -0.07
S 0.267 0.301 0.534  -0.10
S 0.736 0.699 0.968  -0.07
S 0.264 0.301 0.032  -0.07
S 0.733 0.699 0.466  -0.10
S 0.769 0.301 0.537  -0.07
S 0.769 0.301 0.032  -0.07

=====

Entry 13:
A relaxed structure of NdSm2TmTl2. Source: Alexandria, functional PBE.

Summary:
Energy of formation in eV per atom: -0.267
SG: Pmc2_1 (26)
Crystal system: orthorhombic
E_tot in eV per atom: -4.1687

abc: 5.160 6.943 10.141
angles: 90.00 90.00 90.00
Sites, in units of the cell vectors:
Nd 0.000 0.958 0.454
Nd 0.000 0.458 0.546
Sm 0.500 0.055 0.048
Sm 0.000 0.337 0.183
Sm 0.500 0.555 0.952
Sm 0.000 0.837 0.817
Tm 0.500 0.175 0.690
Tm 0.500 0.675 0.310
Tl 0.000 0.297 0.861
Tl 0.500 0.224 0.371
Tl 0.000 0.797 0.139
Tl 0.500 0.724 0.629

=====

Entry 14:
A relaxed structure of TiV3S4. Source: Alexandria, functional PBE.

Summary:
SG: Pmn2_1 (31)
Crystal system: orthorhombic
E_tot in eV per atom: -7.1947

abc: 6.264 6.448 6.451
angles: 90.00 90.00 90.00
Sites, in units of the cell vectors:
Ti 0.025 0.122 0.000
Ti 0.525 0.878 0.500
V 0.574 0.866 0.000
V 0.934 0.734 0.229
V 0.434 0.266 0.271
V 0.074 0.134 0.500
V 0.434 0.266 0.729
V 0.934 0.734 0.771
S 0.202 0.799 0.000
S 0.661 0.207 0.000
S 0.092 0.389 0.249
S 0.592 0.611 0.251
S 0.161 0.793 0.500
S 0.702 0.201 0.500
S 0.592 0.611 0.749
S 0.092 0.389 0.751

=====

Entry 15:
A relaxed structure of Te2PbS2. Source: Alexandria, functional PBE.

Summary:
SG: P4/mbm (127)
Crystal system: tetragonal
E_tot in eV per atom: -3.4771
Relative energy among the computed polymorphs in meV/atom: 0

abc: 8.076 8.076 4.036
angles: 90.00 90.00 90.00
Sites, in units of the cell vectors:
Pb 0.000 0.000 0.000
Pb 0.500 0.500 0.000
S 0.314 0.814 0.000
S 0.814 0.686 0.000
S 0.686 0.186 0.000
S 0.186 0.314 0.000
Te 0.148 0.648 0.500
Te 0.648 0.852 0.500
Te 0.852 0.352 0.500
Te 0.352 0.148 0.500

=====

Entry 16:
A relaxed structure of Ta3NbH6. Source: Alexandria, functional PBE.

Summary:
SG: C2/m (12)
Crystal system: monoclinic
E_tot in eV per atom: -6.6603
Relative energy among the computed polymorphs in meV/atom: 25

abc: 4.658 5.267 5.267
angles: 49.85 65.65 65.65
Sites, in units of the cell vectors:
Ta 0.226 0.248 0.248
Ta 0.774 0.752 0.752
Ta 0.000 0.000 0.000
Nb 0.500 0.500 0.500
H 0.373 0.118 0.631
H 0.627 0.369 0.882
H 0.627 0.882 0.369
H 0.373 0.631 0.118
H 0.184 0.748 0.748
H 0.816 0.252 0.252

=====

Entry 17:
A relaxed structure of Ba6Sr2Ir. Source: Alexandria, functional PBE.

Summary:
Energy of formation in eV per atom: -0.102
SG: Immm (71)
Crystal system: orthorhombic
E_tot in eV per atom: -2.7425

abc: 9.327 10.892 10.038
angles: 90.00 90.00 90.00
Sites, in units of the cell vectors:
Ba 0.000 0.777 0.000
Ba 0.235 0.500 0.214
Ba 0.265 0.000 0.286
Ba 0.235 0.500 0.786
Ba 0.265 0.000 0.714
Ba 0.500 0.723 0.500
Ba 0.000 0.223 0.000
Ba 0.765 0.500 0.786
Ba 0.735 0.000 0.714
Ba 0.765 0.500 0.214
Ba 0.735 0.000 0.286
Ba 0.500 0.277 0.500
Sr 0.000 0.273 0.500
Sr 0.500 0.227 0.000
Sr 0.500 0.773 0.000
Sr 0.000 0.727 0.500
Ir 0.500 0.000 0.500
Ir 0.000 0.500 0.000

=====

Entry 18:
A relaxed structure of Ac2La3Pt2. Source: Alexandria, functional PBE.

Summary:
Energy of formation in eV per atom: -0.715
SG: C2/m (12)
Crystal system: monoclinic
E_tot in eV per atom: -5.7265

abc: 4.055 6.727 9.355
angles: 71.35 77.48 72.46
Sites, in units of the cell vectors:
Ac 0.164 0.475 0.196
Ac 0.836 0.525 0.804
La 0.500 0.000 0.000
La 0.382 0.804 0.431
La 0.618 0.196 0.569
Pt 0.157 0.918 0.768
Pt 0.843 0.082 0.232

=====

Entry 19:
A relaxed structure of Sr2U3S8. Source: Alexandria, functional PBE.

Summary:
SG: Cmmm (65)
Crystal system: orthorhombic
E_tot in eV per atom: -6.9529
Relative energy among the computed polymorphs in meV/atom: 63

abc: 4.695 9.636 8.616
angles: 123.99 90.00 90.00
Site moments in Bohr magnetons follow the coordinates.
Sites, in units of the cell vectors:
Sr 0.500 0.267 0.534  0.00
Sr 0.500 0.733 0.466  0.00
U 0.500 0.000 0.000  1.91
U 0.000 0.278 0.000  2.11
U 0.000 0.722 0.000  2.11
S 0.000 0.614 0.229  -0.06
S 0.000 0.386 0.771  -0.06
S 0.000 0.105 0.210  -0.08
S 0.000 0.895 0.790  -0.08
S 0.500 0.655 0.779  -0.07
S 0.500 0.124 0.779  -0.07
S 0.500 0.876 0.221  -0.07
S 0.500 0.345 0.221  -0.07

=====

Entry 20:
A relaxed structure of Sc6CuPd5. Source: Alexandria, functional PBE.

Summary:
Energy of formation in eV per atom: -0.793
SG: C2/m (12)
Crystal system: monoclinic
E_tot in eV per atom: -6.4642

abc: 4.692 6.584 8.105
angles: 113.97 106.52 90.00
Sites, in units of the cell vectors:
Sc 0.835 0.585 0.670
Sc 0.835 0.084 0.670
Sc 0.500 0.751 0.000
Sc 0.500 0.249 0.000
Sc 0.165 0.916 0.330
Sc 0.165 0.415 0.330
Pd 0.667 0.167 0.333
Pd 0.331 0.331 0.663
Pd 0.000 0.500 0.000
Pd 0.669 0.669 0.337
Pd 0.333 0.833 0.667
Cu 0.000 0.000 0.000

=====

Entry 21:
A relaxed structure of LaTb2Al2Ga2. Source: Alexandria, functional PBE.

Summary:
Energy of formation in eV per atom: -0.414
SG: R-3m (166)
Crystal system: trigonal
E_tot in eV per atom: -4.3748

abc: 4.418 4.418 10.495
angles: 77.85 77.85 60.00
Sites, in units of the cell vectors:
La 0.000 0.000 0.000
Tb 0.130 0.130 0.610
Tb 0.870 0.870 0.390
Al 0.600 0.600 0.200
Al 0.400 0.400 0.800
Ga 0.747 0.747 0.759
Ga 0.253 0.253 0.241

=====

Entry 22:
A relaxed structure of Te3AuF. Source: Alexandria, functional PBE.

Summary:
SG: Pm-3m (221)
Crystal system: cubic
E_tot in eV per atom: -2.6290
Relative energy among the computed polymorphs in meV/atom: 0

abc: 4.956 4.956 4.956
angles: 90.00 90.00 90.00
Sites, in units of the cell vectors:
Te 0.000 0.500 0.000
Te 0.000 0.000 0.500
Te 0.500 0.000 0.000
Au 0.500 0.500 0.500
F 0.000 0.000 0.000